Density functional theory data (PBE-GGA) for a relaxed HoFe4Tc crystal.

abc: 4.9266 4.9266 4.9266
angles: 60.00 60.00 60.00
Sites, in units of the cell vectors:
Fe 0.1291 0.6236 0.6236
Fe 0.6236 0.6236 0.6236
Fe 0.6236 0.6236 0.1291
Fe 0.6236 0.1291 0.6236
Tc 0.2500 0.2500 0.2500
Ho 0.0000 0.0000 0.0000

Spin magnetization, μB per cell: 8.8
Energy, eV per atom: -8.057
Symmetry: F-43m (216)


Density functional theory data (PBE-GGA) for a relaxed Ho3Fe7Tc2 crystal.

abc: 5.0734 5.0734 8.8307
angles: 73.31 73.31 60.00
Sites, in units of the cell vectors:
Fe 0.9146 0.4163 0.2528
Fe 0.5837 0.0854 0.7472
Fe 0.5000 0.5000 0.5000
Fe 0.5837 0.5837 0.7472
Fe 0.4163 0.9146 0.2528
Fe 0.0854 0.5837 0.7472
Fe 0.4163 0.4163 0.2528
Ho 0.0000 0.0000 0.0000
Ho 0.1417 0.1417 0.5749
Ho 0.8583 0.8583 0.4251
Tc 0.3321 0.3321 0.0036
Tc 0.6679 0.6679 0.9964

Spin magnetization, μB per cell: 12.1
Energy, eV per atom: -7.879
Symmetry: R-3m (166)


Density functional theory data (PBE-GGA) for a relaxed Ho3Fe8Tc crystal.

abc: 5.0124 5.0124 8.6832
angles: 73.22 73.22 60.00
Sites, in units of the cell vectors:
Fe 0.5652 0.5652 0.8056
Fe 0.5566 0.0612 0.3209
Fe 0.3125 0.3125 0.0624
Fe 0.5652 0.0641 0.8056
Fe 0.8116 0.8116 0.5652
Fe 0.0612 0.5566 0.3209
Fe 0.0612 0.0612 0.3209
Fe 0.0641 0.5652 0.8056
Ho 0.0042 0.0042 0.9873
Ho 0.6245 0.6245 0.1265
Ho 0.4969 0.4969 0.5093
Tc 0.1267 0.1267 0.6200

Spin magnetization, μB per cell: 14.5
Energy, eV per atom: -7.665
Symmetry: R3m (160)